Entry 1:
DFT (GGA-PBE) results for a geometry-optimized Rb2TbMg2S4 structure.

a b c (Å): 8.0378 8.0378 7.9634
angles (deg): 107.03 107.03 29.51
Closest atoms and distances in Å follow each position.
Sites, in units of the cell vectors:
Rb (0.1247, 0.1247, 0.0353)  7 S 3.46-3.66, 1 Rb 3.74
Rb (0.8753, 0.8753, 0.9647)  7 S 3.46-3.66, 1 Rb 3.74
Tb (0.0000, 0.0000, 0.5000)  6 S 2.83-2.99
Mg (0.3287, 0.3287, 0.5224)  4 S 2.41-2.55
Mg (0.6713, 0.6713, 0.4776)  4 S 2.41-2.55
S (0.2008, 0.2008, 0.6612)  3 Mg 2.48-2.55
S (0.4784, 0.4784, 0.7293)  1 Mg 2.41
S (0.5216, 0.5216, 0.2707)  1 Mg 2.41
S (0.7992, 0.7992, 0.3388)  3 Mg 2.48-2.55

- V: 26.8 Å³ per atom
- Uncorrected formation energy: -1.3707 eV per atom
- E: -4.289 eV per atom
- Space-group type: C2/m
- Crystal system: monoclinic
- Total magnetic moment: 0.70 Bohr magnetons per cell


Entry 2:
DFT (GGA-PBE) results for a geometry-optimized Rb2MgTeS4 structure.

a b c (Å): 13.8259 12.1792 7.9693
angles (deg): 83.88 61.15 34.97
Closest atoms and distances in Å follow each position.
Sites, in units of the cell vectors:
Rb (0.0548, 0.0548, 0.6952)  8 S 3.59-3.97
Rb (0.3048, 0.3048, 0.9452)  8 S 3.59-3.97
Rb (0.6952, 0.6952, 0.0548)  8 S 3.59-3.97
Rb (0.9452, 0.9452, 0.3048)  8 S 3.59-3.97
Mg (0.1250, 0.1250, 0.1250)  4 S 2.45
Mg (0.8750, 0.8750, 0.8750)  4 S 2.45
Te (0.3750, 0.3750, 0.3750)  4 S 2.56
Te (0.6250, 0.6250, 0.6250)  4 S 2.56
S (0.0422, 0.3118, 0.4112)  1 Mg 2.45, 1 Te 2.56
S (0.2652, 0.5888, 0.6882)  1 Mg 2.45, 1 Te 2.56
S (0.3118, 0.0422, 0.7348)  1 Mg 2.45, 1 Te 2.56
S (0.4112, 0.7348, 0.0422)  1 Mg 2.45, 1 Te 2.56
S (0.5888, 0.2652, 0.9578)  1 Mg 2.45, 1 Te 2.56
S (0.6882, 0.9578, 0.2652)  1 Mg 2.45, 1 Te 2.56
S (0.7348, 0.4112, 0.3118)  1 Mg 2.45, 1 Te 2.56
S (0.9578, 0.6882, 0.5888)  1 Mg 2.45, 1 Te 2.56

- V: 34.4 Å³ per atom
- Uncorrected formation energy: -0.7312 eV per atom
- E: -3.629 eV per atom
- Space-group type: Fddd
- Crystal system: orthorhombic
- Total magnetic moment: 0.00 Bohr magnetons per cell


Entry 3:
DFT (GGA-PBE) results for a geometry-optimized RbMgTe2S structure.

a b c (Å): 5.8835 5.8835 4.7459
angles (deg): 90.00 90.00 90.00
Closest atoms and distances in Å follow each position.
Sites, in units of the cell vectors:
Rb (0.0000, 0.0000, 0.0000)  8 Te 3.78, 4 Mg 4.16
Mg (0.5000, 0.5000, 0.0000)  2 S 2.37
Te (0.0000, 0.5000, 0.5000)  2 S 2.94
Te (0.5000, 0.0000, 0.5000)  2 S 2.94
S (0.5000, 0.5000, 0.5000)  2 Mg 2.37

- V: 32.9 Å³ per atom
- Uncorrected formation energy: -0.3293 eV per atom
- E: -2.924 eV per atom
- Space-group type: P4/mmm
- Crystal system: tetragonal
- Total magnetic moment: 0.00 Bohr magnetons per cell


Entry 4:
DFT (GGA-PBE) results for a geometry-optimized Rb3Tm2MgS6 structure.

a b c (Å): 6.8996 6.8996 8.0194
angles (deg): 98.25 98.25 120.01
Closest atoms and distances in Å follow each position.
Sites, in units of the cell vectors:
Rb (0.0000, 0.0000, 0.0000)  6 S 3.32-3.33
Rb (0.3337, 0.6663, 0.0000)  6 S 3.31-3.33
Rb (0.6663, 0.3337, 0.0000)  6 S 3.31-3.33
Tm (0.1666, 0.8334, 0.5000)  6 S 2.72
Tm (0.8334, 0.1666, 0.5000)  6 S 2.72
Mg (0.5000, 0.5000, 0.5000)  6 S 2.70
S (0.1063, 0.4373, 0.3118)  1 Mg 2.70, 2 Tm 2.72
S (0.2318, 0.2318, 0.6882)  1 Mg 2.70, 2 Tm 2.72
S (0.4373, 0.1063, 0.3118)  1 Mg 2.70, 2 Tm 2.72
S (0.5627, 0.8937, 0.6882)  1 Mg 2.70, 2 Tm 2.72
S (0.7682, 0.7682, 0.3118)  1 Mg 2.70, 2 Tm 2.72
S (0.8937, 0.5627, 0.6882)  1 Mg 2.70, 2 Tm 2.72

- V: 26.4 Å³ per atom
- Uncorrected formation energy: -1.5228 eV per atom
- E: -4.707 eV per atom
- Space-group type: C2/m
- Crystal system: monoclinic
- Total magnetic moment: 0.00 Bohr magnetons per cell


Entry 5:
DFT (GGA-PBE) results for a geometry-optimized Rb2MgUS6 structure.

a b c (Å): 7.2206 7.2206 7.2206
angles (deg): 120.14 119.89 89.97
Closest atoms and distances in Å follow each position.
Sites, in units of the cell vectors:
Rb (0.2500, 0.2500, 0.0000)  12 S 3.60-3.62
Rb (0.7500, 0.7500, 0.0000)  12 S 3.60-3.62
Mg (0.5000, 0.0000, 0.5000)  6 S 2.57
U (0.0000, 0.5000, 0.5000)  6 S 2.53
S (0.2478, 0.2518, 0.4996)  1 U 2.53, 1 Mg 2.57
S (0.2480, 0.7480, 0.5000)  1 U 2.53, 1 Mg 2.57
S (0.2478, 0.7482, 0.9960)  1 U 2.53, 1 Mg 2.57
S (0.7522, 0.2518, 0.0040)  1 U 2.53, 1 Mg 2.57
S (0.7520, 0.2520, 0.5000)  1 U 2.53, 1 Mg 2.57
S (0.7522, 0.7482, 0.5004)  1 U 2.53, 1 Mg 2.57

- V: 26.6 Å³ per atom
- Uncorrected formation energy: -1.0365 eV per atom
- E: -4.995 eV per atom
- Space-group type: Immm
- Crystal system: orthorhombic
- Total magnetic moment: 0.00 Bohr magnetons per cell


Entry 6:
DFT (GGA-PBE) results for a geometry-optimized Rb3MgU2S9 structure.

a b c (Å): 7.2491 7.2491 8.9313
angles (deg): 90.00 90.00 120.00
Closest atoms and distances in Å follow each position.
Sites, in units of the cell vectors:
Rb (0.0000, 0.0000, 0.0000)  12 S 3.62
Rb (0.3333, 0.6667, 0.6610)  12 S 3.61-3.68
Rb (0.6667, 0.3333, 0.3390)  12 S 3.61-3.68
Mg (0.0000, 0.0000, 0.5000)  6 S 2.60
U (0.3333, 0.6667, 0.1760)  6 S 2.49-2.62
U (0.6667, 0.3333, 0.8240)  6 S 2.49-2.62
S (0.0000, 0.5000, 0.0000)  2 U 2.62
S (0.1681, 0.3362, 0.3296)  1 U 2.49, 1 Mg 2.60
S (0.1681, 0.8319, 0.3296)  1 U 2.49, 1 Mg 2.60
S (0.3362, 0.1681, 0.6704)  1 U 2.49, 1 Mg 2.60
S (0.5000, 0.0000, 0.0000)  2 U 2.62
S (0.5000, 0.5000, 0.0000)  2 U 2.62
S (0.6638, 0.8319, 0.3296)  1 U 2.49, 1 Mg 2.60
S (0.8319, 0.1681, 0.6704)  1 U 2.49, 1 Mg 2.60
S (0.8319, 0.6638, 0.6704)  1 U 2.49, 1 Mg 2.60

- V: 27.1 Å³ per atom
- Uncorrected formation energy: -1.1915 eV per atom
- E: -5.473 eV per atom
- Space-group type: P-3m1
- Crystal system: trigonal
- Total magnetic moment: 0.00 Bohr magnetons per cell


Entry 7:
DFT (GGA-PBE) results for a geometry-optimized Rb4MgU3S8 structure.

a b c (Å): 9.0150 9.0150 9.0150
angles (deg): 53.44 53.44 53.44
Closest atoms and distances in Å follow each position.
Sites, in units of the cell vectors:
Rb (0.0000, 0.0000, 0.0000)  6 S 3.37
Rb (0.0000, 0.5000, 0.5000)  6 S 3.32-3.34
Rb (0.5000, 0.0000, 0.5000)  6 S 3.32-3.34
Rb (0.5000, 0.5000, 0.0000)  6 S 3.32-3.34
Mg (0.5000, 0.5000, 0.5000)  6 S 2.74
U (0.0000, 0.0000, 0.5000)  6 S 2.77-2.78
U (0.0000, 0.5000, 0.0000)  6 S 2.77-2.78
U (0.5000, 0.0000, 0.0000)  6 S 2.77-2.78
S (0.2312, 0.2312, 0.2312)  3 U 2.78
S (0.2334, 0.7279, 0.7279)  1 Mg 2.74, 2 U 2.77
S (0.2721, 0.2721, 0.7666)  1 Mg 2.74, 2 U 2.77
S (0.2721, 0.7666, 0.2721)  1 Mg 2.74, 2 U 2.77
S (0.7279, 0.2334, 0.7279)  1 Mg 2.74, 2 U 2.77
S (0.7279, 0.7279, 0.2334)  1 Mg 2.74, 2 U 2.77
S (0.7666, 0.2721, 0.2721)  1 Mg 2.74, 2 U 2.77
S (0.7688, 0.7688, 0.7688)  3 U 2.78

- V: 27.4 Å³ per atom
- Uncorrected formation energy: -1.3517 eV per atom
- E: -5.873 eV per atom
- Space-group type: R-3m
- Crystal system: trigonal
- Total magnetic moment: 8.00 Bohr magnetons per cell


Entry 8:
DFT (GGA-PBE) results for a geometry-optimized Rb3Mg2US6 structure.

a b c (Å): 6.8225 6.8225 7.9717
angles (deg): 98.15 98.15 120.04
Closest atoms and distances in Å follow each position.
Sites, in units of the cell vectors:
Rb (0.0000, 0.0000, 0.0000)  6 S 3.30-3.32
Rb (0.3299, 0.6701, 0.0000)  6 S 3.30-3.32
Rb (0.6701, 0.3299, 0.0000)  6 S 3.30-3.32
Mg (0.1665, 0.8335, 0.5000)  6 S 2.69-2.70
Mg (0.8335, 0.1665, 0.5000)  6 S 2.69-2.70
U (0.5000, 0.5000, 0.5000)  6 S 2.65
S (0.1095, 0.4381, 0.3150)  1 U 2.65, 2 Mg 2.69-2.70
S (0.2338, 0.2338, 0.6865)  1 U 2.65, 2 Mg 2.70
S (0.4381, 0.1095, 0.3150)  1 U 2.65, 2 Mg 2.69-2.70
S (0.5619, 0.8905, 0.6850)  1 U 2.65, 2 Mg 2.69-2.70
S (0.7662, 0.7662, 0.3135)  1 U 2.65, 2 Mg 2.70
S (0.8905, 0.5619, 0.6850)  1 U 2.65, 2 Mg 2.69-2.70

- V: 25.7 Å³ per atom
- Uncorrected formation energy: -1.3394 eV per atom
- E: -4.851 eV per atom
- Space-group type: C2/m
- Crystal system: monoclinic
- Total magnetic moment: 1.00 Bohr magnetons per cell


Entry 9:
DFT (GGA-PBE) results for a geometry-optimized Rb2MgVS4 structure.

a b c (Å): 13.9383 12.4899 7.4578
angles (deg): 84.66 63.15 32.19
Closest atoms and distances in Å follow each position.
Sites, in units of the cell vectors:
Rb (0.0530, 0.0530, 0.6970)  8 S 3.54-3.79
Rb (0.3030, 0.3030, 0.9470)  8 S 3.54-3.79
Rb (0.6970, 0.6970, 0.0530)  8 S 3.54-3.79
Rb (0.9470, 0.9470, 0.3030)  8 S 3.54-3.79
Mg (0.1250, 0.1250, 0.1250)  4 S 2.43
Mg (0.8750, 0.8750, 0.8750)  4 S 2.43
V (0.3750, 0.3750, 0.3750)  4 S 2.23
V (0.6250, 0.6250, 0.6250)  4 S 2.23
S (0.0051, 0.6420, 0.5554)  1 V 2.23, 1 Mg 2.43
S (0.2976, 0.5554, 0.6420)  1 V 2.23, 1 Mg 2.43
S (0.3580, 0.9949, 0.7024)  1 V 2.23, 1 Mg 2.43
S (0.4446, 0.7024, 0.9949)  1 V 2.23, 1 Mg 2.43
S (0.5554, 0.2976, 0.0051)  1 V 2.23, 1 Mg 2.43
S (0.6420, 0.0051, 0.2976)  1 V 2.23, 1 Mg 2.43
S (0.7024, 0.4446, 0.3580)  1 V 2.23, 1 Mg 2.43
S (0.9949, 0.3580, 0.4446)  1 V 2.23, 1 Mg 2.43

- V: 30.6 Å³ per atom
- Uncorrected formation energy: -1.1412 eV per atom
- E: -4.786 eV per atom
- Space-group type: Fddd
- Crystal system: orthorhombic
- Total magnetic moment: 2.00 Bohr magnetons per cell


Entry 10:
DFT (GGA-PBE) results for a geometry-optimized Rb2YMg2S4 structure.

a b c (Å): 8.0392 8.0392 7.9505
angles (deg): 107.02 107.02 29.48
Closest atoms and distances in Å follow each position.
Sites, in units of the cell vectors:
Rb (0.1248, 0.1248, 0.0353)  7 S 3.46-3.65, 1 Rb 3.75
Rb (0.8752, 0.8752, 0.9647)  7 S 3.46-3.65, 1 Rb 3.75
Y (0.0000, 0.0000, 0.5000)  6 S 2.82-3.00
Mg (0.3288, 0.3288, 0.5218)  4 S 2.41-2.55
Mg (0.6712, 0.6712, 0.4782)  4 S 2.41-2.55
S (0.2014, 0.2014, 0.6620)  3 Mg 2.47-2.55
S (0.4785, 0.4785, 0.7288)  1 Mg 2.41
S (0.5215, 0.5215, 0.2712)  1 Mg 2.41
S (0.7986, 0.7986, 0.3380)  3 Mg 2.47-2.55

- V: 26.8 Å³ per atom
- Uncorrected formation energy: -1.3746 eV per atom
- E: -4.497 eV per atom
- Space-group type: C2/m
- Crystal system: monoclinic
- Total magnetic moment: 0.83 Bohr magnetons per cell